BePPb2 | PBE | optimized geometry

```
BePPb2
1.0
-3.703 -3.395 3.126
1.816 -5.594 0.646
1.305 5.667 1.090
P Pb Be
1 2 1
direct
0.350 0.850 0.500
0.999 0.999 0.000
0.697 0.197 0.500
0.454 0.454 0.000
```

Computed properties:
Excess energy over the best structure of this formula in the dataset: 1.00 eV per formula unit
Total energy: -3.900 eV/atom
ΔE_f: 0.238 eV per atom
Total magnetization: 0.000 μB per atom
Symmetry: No. 44
Volume: 23.75 A^3/atom

***

AlPd2Pt4 | PBE | optimized geometry

```
AlPd2Pt4
1.0
2.776 0.000 0.000
0.000 4.313 -1.735
0.000 1.099 8.960
Pd Pt Al
2 4 1
direct
0.500 0.214 0.429
0.500 0.786 0.571
0.000 0.922 0.844
0.500 0.379 0.757
0.500 0.621 0.243
0.000 0.078 0.156
0.000 0.500 0.000
```

Computed properties:
Total energy: -5.709 eV/atom
ΔE_f: -0.238 eV per atom
Total magnetization: 0.000 μB per atom
Symmetry: No. 65
Volume: 16.08 A^3/atom

***

BaAc3Tl | PBE | optimized geometry

```
BaAc3Tl
1.0
-1.559 6.299 2.348
-3.151 -3.577 7.504
8.561 2.328 -0.561
Tl Ac Ba
2 6 2
direct
0.000 0.000 0.000
0.500 0.000 0.000
0.750 0.186 0.373
0.750 0.186 0.814
0.750 0.627 0.814
0.250 0.373 0.186
0.250 0.814 0.627
0.250 0.814 0.186
0.750 0.667 0.333
0.250 0.333 0.667
```

Computed properties:
Total energy: -3.234 eV/atom
ΔE_f: 0.089 eV per atom
Total magnetization: 0.001 μB per atom
Symmetry: No. 194
Volume: 47.23 A^3/atom

***

Tm3Fe7Tc2 | PBE | optimized geometry

```
Tm3Fe7Tc2
1.0
4.814 0.000 1.507
2.171 4.296 1.507
-0.112 -0.069 8.801
Tc Fe Tm
2 7 3
direct
0.332 0.332 0.003
0.668 0.668 0.997
0.915 0.415 0.254
0.500 0.500 0.500
0.585 0.585 0.746
0.415 0.415 0.254
0.085 0.585 0.746
0.415 0.915 0.254
0.585 0.085 0.746
0.858 0.858 0.425
0.000 0.000 0.000
0.142 0.142 0.575
```

Computed properties:
Total energy: -7.886 eV/atom
ΔE_f: -0.104 eV per atom
Total magnetization: 0.992 μB per atom
Symmetry: No. 166
Volume: 15.25 A^3/atom

***

LuTiS | PBE | optimized geometry

```
LuTiS
1.0
3.813 0.000 0.000
0.000 4.182 0.000
0.000 -2.091 3.621
Ti Lu S
1 1 1
direct
0.166 0.000 0.000
0.666 0.667 0.333
0.167 0.333 0.667
```

Computed properties:
Total energy: -6.155 eV/atom
Total magnetization: 0.000 μB per atom
Symmetry: No. 187
Raw formation energy: -0.6410 eV/atom
Volume: 19.25 A^3/atom

***

BaThPdO4 | PBE | optimized geometry

```
BaThPdO4
1.0
6.525 0.000 0.000
-3.262 6.734 -0.108
0.000 -3.732 6.137
O Th Pd Ba
8 2 2 2
direct
0.664 0.915 0.207
0.336 0.085 0.793
0.709 0.418 0.280
0.291 0.582 0.363
0.251 0.915 0.207
0.749 0.085 0.793
0.709 0.418 0.637
0.291 0.582 0.720
0.500 0.000 0.500
0.500 0.000 0.000
0.500 0.500 0.500
0.000 0.500 0.500
0.179 0.357 0.929
0.821 0.643 0.071
```

Computed properties:
Total energy: -7.274 eV/atom
Total magnetization: 0.000 μB per atom
Symmetry: No. 74
Raw formation energy: -2.3643 eV/atom
Volume: 19.07 A^3/atom